# MgFeW (GGA-PBE, relaxed)
data_MgFeW
_space_group_name_H-M_alt 'F -4 3 m'
_space_group_IT_number 216
_space_group_name_Hall 'F -4 2 3'
_cell_length_a 5.8026
_cell_length_b 5.8026
_cell_length_c 5.8026
_cell_angle_alpha 90.00
_cell_angle_beta 90.00
_cell_angle_gamma 90.00
loop_
_atom_site_label
_atom_site_type_symbol
_atom_site_fract_x
_atom_site_fract_y
_atom_site_fract_z
Mg1 Mg 0.0000 0.0000 0.0000
Fe1 Fe 0.2500 0.2500 0.7500
W1 W 0.0000 0.0000 0.5000
# Volume (Å³/f.u.): 48.84
# Total energy (eV/atom): -6.98
# Calculated formation energy (eV per formula unit): 2.084
# Offset from the most stable computed form (eV per atom): 0.421
# ρ (g/cm3): 9.0